(1)
## NaTbY (PBE)

Data for a relaxed NaTbY crystal.

It has space group P-1 (No. 2), with a = 3.553 Å, b = 6.764 Å, c = 8.921 Å, α = 103.40°, β = 90.03° and γ = 105.16°. Symmetry generates all atoms from Na at (0.138, 0.275, 0.021), Tb at (0.195, 0.391, 0.628) and Y at (0.472, 0.941, 0.676).

The offset from the most stable computed form is 11 meV per atom. The formation energy is 0.1510 eV per atom. The total magnetization comes out at 0.15 μB per formula unit.

(2)
## Sc3Cr (PBE)

Data for a relaxed Sc3Cr crystal.

It has space group Pm-3m (No. 221), with a = 4.419 Å, b = 4.419 Å, c = 4.419 Å, α = 90.00°, β = 90.00° and γ = 90.00°. Symmetry generates all atoms from Sc at (0.000, 0.000, 0.500) and Cr at (0.500, 0.500, 0.500).

The formation energy is 0.2258 eV per atom. The total magnetization comes out at 2.28 μB per formula unit.

(3)
## SbMoS2 (PBE)

Data for a relaxed SbMoS2 crystal.

It has space group P1 (No. 1), with a = 3.260 Å, b = 5.926 Å, c = 8.917 Å, α = 85.00°, β = 89.60° and γ = 89.94°. Symmetry generates all atoms from Sb at (0.000, 0.000, 0.000), Sb at (0.014, 0.527, 0.114), Mo at (0.002, 0.379, 0.579), Mo at (0.502, 0.776, 0.568), S at (0.005, 0.681, 0.385), S at (0.497, 0.476, 0.764), S at (0.505, 0.174, 0.431) and S at (0.999, 0.982, 0.715).

As for the total energy: -25.02 eV/f.u. The total magnetization comes out at 0.00 μB per formula unit.

What is the formula in the first record?
NaTbY